# 1
## PmGa2SiRh4 (PBE)

Data for a relaxed PmGa2SiRh4 crystal.

Results
Its space-group type is R-3m, No. 166. For the formation energy (no corrections), the calculation gives -763 meV/atom.

Cell lengths 8.6230, 8.6230, 8.6230 Å; angles 28.65, 28.65, 28.65 degrees
Last column: nearest neighbours and their distance in Å.
Sites, in units of the cell vectors:
Pm 0.0000 0.0000 0.0000  8 Rh 3.04-3.35, 6 Ga 3.31
Ga 0.2442 0.2442 0.2442  7 Rh 2.50-2.71
Ga 0.7558 0.7558 0.7558  7 Rh 2.50-2.71
Si 0.5000 0.5000 0.5000  8 Rh 2.35-2.58
Rh 0.1352 0.1352 0.1352  3 Si 2.58, 4 Ga 2.70-2.71
Rh 0.4053 0.4053 0.4053  1 Si 2.35, 3 Ga 2.50
Rh 0.5947 0.5947 0.5947  1 Si 2.35, 3 Ga 2.50
Rh 0.8648 0.8648 0.8648  3 Si 2.58, 4 Ga 2.70-2.71

# 2
## SrTcAsSe2 (PBE)

Data for a relaxed SrTcAsSe2 crystal.

Results
Its space-group type is P4/mmm, No. 123. The value obtained for the energy relative to the lowest polymorph listed for this composition is 1824 meV per atom. For the formation energy (no corrections), the calculation gives 1375 meV/atom.

Cell lengths 5.6406, 5.6406, 6.0523 Å; angles 90.00, 90.00, 90.00 degrees
Last column: nearest neighbours and their distance in Å.
Sites, in units of the cell vectors:
Sr 0.0000 0.0000 0.0000  4 Se 2.82, 2 Tc 3.03
Tc 0.0000 0.0000 0.5000  2 Sr 3.03
As 0.5000 0.5000 0.5000  4 Tc 3.99, 8 Se 4.14
Se 0.0000 0.5000 0.0000  2 Sr 2.82
Se 0.5000 0.0000 0.0000  2 Sr 2.82

# 3
## Nd2Dy12Y5 (PBE)

Data for a relaxed Nd2Dy12Y5 crystal.

Results
Its space-group type is P-1, No. 2. The value obtained for the energy relative to the lowest polymorph listed for this composition is 0 meV per atom. The formation energy comes out at 5.9 kJ/mol of atoms.

Cell lengths 6.2684, 8.8514, 12.1137 Å; angles 69.32, 80.38, 79.35 degrees
Last column: nearest neighbours and their distance in Å.
Sites, in units of the cell vectors:
Nd 0.2404 0.0050 0.0631  5 Dy 3.26-3.58, 2 Nd 3.36-3.63, 2 Y 3.39-3.64
Nd 0.7596 0.9950 0.9369  5 Dy 3.26-3.58, 2 Nd 3.36-3.63, 2 Y 3.39-3.64
Dy 0.0414 0.5757 0.3253  6 Dy 3.45-3.66, 5 Y 3.59-3.81
Dy 0.1879 0.7604 0.6658  7 Dy 3.39-3.68, 5 Y 3.55-3.70
Dy 0.2287 0.8977 0.3594  1 Nd 3.36, 6 Dy 3.39-3.67, 4 Y 3.43-3.66
Dy 0.2668 0.0376 0.7845  2 Nd 3.26-3.41, 2 Y 3.35-3.54, 5 Dy 3.39-3.56
Dy 0.3352 0.2926 0.1773  3 Y 3.37-3.58, 6 Dy 3.42-3.68, 1 Nd 3.47
Dy 0.4128 0.3756 0.8360  5 Dy 3.48-3.66, 2 Nd 3.58-3.67, 4 Y 3.67-3.79
Dy 0.5872 0.6244 0.1640  5 Dy 3.48-3.66, 2 Nd 3.58-3.67, 4 Y 3.67-3.79
Dy 0.6648 0.7074 0.8227  3 Y 3.37-3.58, 6 Dy 3.42-3.68, 1 Nd 3.47
Dy 0.7332 0.9624 0.2155  2 Nd 3.26-3.41, 2 Y 3.35-3.54, 5 Dy 3.39-3.56
Dy 0.7713 0.1023 0.6406  1 Nd 3.36, 6 Dy 3.39-3.67, 4 Y 3.43-3.66
Dy 0.8121 0.2396 0.3342  7 Dy 3.39-3.68, 5 Y 3.55-3.70
Dy 0.9586 0.4243 0.6747  6 Dy 3.45-3.66, 5 Y 3.59-3.81
Y 0.1411 0.6589 0.9921  7 Dy 3.37-3.74, 2 Nd 3.39-3.64, 1 Y 3.52
Y 0.2858 0.1742 0.4879  9 Dy 3.35-3.66, 2 Y 3.46-3.66
Y 0.5000 0.5000 0.5000  2 Y 3.46, 10 Dy 3.56-3.79
Y 0.7142 0.8258 0.5121  9 Dy 3.35-3.66, 2 Y 3.46-3.66
Y 0.8589 0.3411 0.0079  7 Dy 3.37-3.74, 2 Nd 3.39-3.64, 1 Y 3.52

# 4
## KInMo2 (PBE)

Data for a relaxed KInMo2 crystal.

Results
Its space-group type is Cmmm, No. 65. The formation energy comes out at 122.8 kJ/mol of atoms.

Cell lengths 5.7888, 10.3564, 2.7307 Å; angles 90.00, 90.00, 90.00 degrees
Last column: nearest neighbours and their distance in Å.
Sites, in units of the cell vectors:
K 0.0000 0.0000 0.0000  2 K 2.73, 2 In 2.89
K 0.5000 0.5000 0.0000  2 K 2.73, 2 In 2.89
In 0.0000 0.5000 0.0000  2 In 2.73, 2 K 2.89
In 0.5000 0.0000 0.0000  2 In 2.73, 2 K 2.89
Mo 0.2500 0.2500 0.5000  4 Mo 2.73-2.89
Mo 0.2500 0.7500 0.5000  4 Mo 2.73-2.89
Mo 0.7500 0.2500 0.5000  4 Mo 2.73-2.89
Mo 0.7500 0.7500 0.5000  4 Mo 2.73-2.89

# 5
## BeNb2B2 (PBE)

Data for a relaxed BeNb2B2 crystal.

Results
Its space-group type is P4/mbm, No. 127. The value obtained for the energy relative to the lowest polymorph listed for this composition is 148 meV per atom. The formation energy comes out at -48.9 kJ/mol of atoms.

Cell lengths 5.7600, 5.7600, 3.3491 Å; angles 90.00, 90.00, 90.00 degrees
Last column: nearest neighbours and their distance in Å.
Sites, in units of the cell vectors:
Be 0.0000 0.0000 0.0000  4 B 2.34
Be 0.5000 0.5000 0.0000  4 B 2.34
Nb 0.1833 0.3167 0.5000  6 B 2.39-2.41
Nb 0.3167 0.8167 0.5000  6 B 2.39-2.41
Nb 0.6833 0.1833 0.5000  6 B 2.39-2.41
Nb 0.8167 0.6833 0.5000  6 B 2.39-2.41
B 0.1077 0.6077 0.0000  1 B 1.75
B 0.3923 0.1077 0.0000  1 B 1.75
B 0.6077 0.8923 0.0000  1 B 1.75
B 0.8923 0.3923 0.0000  1 B 1.75

# 6
## YSbPd5 (PBE)

Data for a relaxed YSbPd5 crystal.

Results
Its space-group type is P4/mmm, No. 123. The value obtained for the energy relative to the lowest polymorph listed for this composition is 0 meV per atom. For the formation energy (no corrections), the calculation gives -686 meV/atom.

Cell lengths 4.1892, 4.1892, 7.3765 Å; angles 90.00, 90.00, 90.00 degrees
Last column: nearest neighbours and their distance in Å.
Sites, in units of the cell vectors:
Y 0.0000 0.0000 0.0000  12 Pd 2.93-2.96
Sb 0.5000 0.5000 0.5000  8 Pd 2.66
Pd 0.0000 0.5000 0.2773  2 Sb 2.66, 6 Pd 2.93-2.96, 2 Y 2.93
Pd 0.0000 0.5000 0.7227  2 Sb 2.66, 6 Pd 2.93-2.96, 2 Y 2.93
Pd 0.5000 0.0000 0.2773  2 Sb 2.66, 6 Pd 2.93-2.96, 2 Y 2.93
Pd 0.5000 0.0000 0.7227  2 Sb 2.66, 6 Pd 2.93-2.96, 2 Y 2.93
Pd 0.5000 0.5000 0.0000  8 Pd 2.93, 4 Y 2.96

# 7
## Tm2GaNi2 (PBE)

Data for a relaxed Tm2GaNi2 crystal.

Results
Its space-group type is C2/m, No. 12. The formation energy comes out at -58.9 kJ/mol of atoms.

Cell lengths 9.1335, 5.3213, 4.1496 Å; angles 90.00, 116.92, 90.00 degrees
Last column: nearest neighbours and their distance in Å.
Sites, in units of the cell vectors:
Tm 0.2018 0.0000 0.2018  6 Ni 2.82-2.92, 2 Ga 3.13
Tm 0.2982 0.5000 0.7982  6 Ni 2.82-2.92, 2 Ga 3.13
Tm 0.7018 0.5000 0.2018  6 Ni 2.82-2.92, 2 Ga 3.13
Tm 0.7982 0.0000 0.7982  6 Ni 2.82-2.92, 2 Ga 3.13
Ga 0.0000 0.5000 0.0000  4 Ni 2.52
Ga 0.5000 0.0000 0.0000  4 Ni 2.52
Ni 0.0000 0.2310 0.5000  1 Ni 2.46, 2 Ga 2.52
Ni 0.0000 0.7690 0.5000  1 Ni 2.46, 2 Ga 2.52
Ni 0.5000 0.2690 0.5000  1 Ni 2.46, 2 Ga 2.52
Ni 0.5000 0.7310 0.5000  1 Ni 2.46, 2 Ga 2.52

# 8
## Sc2NbFe9 (PBE)

Data for a relaxed Sc2NbFe9 crystal.

Results
Its space-group type is R-3m, No. 166. The formation energy comes out at -9.9 kJ/mol of atoms.

Cell lengths 8.4404, 8.4404, 8.4404 Å; angles 33.08, 33.08, 33.08 degrees
Last column: nearest neighbours and their distance in Å.
Sites, in units of the cell vectors:
Sc 0.1419 0.1419 0.1419  12 Fe 2.78-2.93, 3 Sc 3.02
Sc 0.8581 0.8581 0.8581  12 Fe 2.78-2.93, 3 Sc 3.02
Nb 0.0000 0.0000 0.0000  6 Fe 2.77
Fe 0.0800 0.5847 0.5847  7 Fe 2.38-2.44
Fe 0.3332 0.3332 0.3332  6 Fe 2.42-2.43
Fe 0.4153 0.4153 0.9200  7 Fe 2.38-2.44
Fe 0.4153 0.9200 0.4153  7 Fe 2.38-2.44
Fe 0.5000 0.5000 0.5000  6 Fe 2.44
Fe 0.5847 0.0800 0.5847  7 Fe 2.38-2.44
Fe 0.5847 0.5847 0.0800  7 Fe 2.38-2.44
Fe 0.6667 0.6667 0.6667  6 Fe 2.42-2.43
Fe 0.9200 0.4153 0.4153  7 Fe 2.38-2.44